[1]
# Dy6Tm3Sc2

Crystalline Dy6Tm3Sc2 at its relaxed geometry (GGA-PBE, Alexandria via LeMat-Bulk).

Geometry as POSCAR:
```
Dy6Tm3Sc2
1.0
1.743 1.006 31.012
-1.743 1.006 31.012
0.000 -2.012 31.012
Dy Tm Sc
6 3 2
Cartesian
0.000 0.000 8.617 Dy
0.000 0.000 16.978 Dy
0.000 0.000 33.883 Dy
0.000 0.000 59.154 Dy
0.000 0.000 76.058 Dy
0.000 0.000 84.420 Dy
0.000 0.000 0.000 Tm
0.000 0.000 25.278 Tm
0.000 0.000 67.758 Tm
0.000 0.000 42.339 Sc
0.000 0.000 50.697 Sc
```

Computed properties:
The total moment comes out at 0.00 Bohr magnetons per cell. The value obtained for the energy is -4.8427 eV/atom. The value obtained for the formation energy is 0.038 eV/atom. Its space group is R-3m. The calculation puts the offset from the most stable computed form at 0 meV/atom.

[2]
# Dy8TmSc4

Crystalline Dy8TmSc4 at its relaxed geometry (GGA-PBE, Alexandria via LeMat-Bulk).

Geometry as POSCAR:
```
Dy8TmSc4
1.0
3.474 2.006 9.258
-3.474 2.006 9.258
0.000 -4.012 9.258
Dy Tm Sc
8 1 4
Cartesian
0.000 0.000 5.878 Dy
-1.860 -1.074 15.926 Dy
0.000 -2.147 11.848 Dy
-1.860 1.074 11.848 Dy
1.860 -1.074 15.926 Dy
0.000 2.147 15.926 Dy
1.860 1.074 11.848 Dy
0.000 0.000 21.896 Dy
0.000 0.000 13.887 Tm
0.000 0.000 0.000 Sc
-1.737 -1.003 9.258 Sc
-1.737 1.003 18.516 Sc
0.000 2.006 9.258 Sc
```

Computed properties:
The total moment comes out at 0.00 Bohr magnetons per cell. The value obtained for the energy is -4.8642 eV/atom. The value obtained for the formation energy is 0.260 eV/atom. Its space group is R-3m.

[3]
# Dy2TmSc5

Crystalline Dy2TmSc5 at its relaxed geometry (GGA-PBE, Alexandria via LeMat-Bulk).

Geometry as POSCAR:
```
Dy2TmSc5
1.0
-3.379 3.379 4.694
3.379 -3.379 4.694
3.379 3.379 -4.694
Dy Tm Sc
2 1 5
Cartesian
3.379 0.000 0.000 Dy
0.000 3.379 0.000 Dy
0.000 0.000 9.385 Tm
1.691 1.691 -2.347 Sc
1.688 -1.688 2.347 Sc
-1.688 1.688 2.347 Sc
0.000 0.000 4.698 Sc
1.688 1.688 2.347 Sc
```

Computed properties:
The total moment comes out at 0.00 Bohr magnetons per cell. The value obtained for the energy is -5.6087 eV/atom. The value obtained for the formation energy is 0.058 eV/atom. Its space group is I4mm. The calculation puts the offset from the most stable computed form at 35 meV/atom.

[4]
# Dy5Tm3Sc3

Crystalline Dy5Tm3Sc3 at its relaxed geometry (GGA-PBE, Alexandria via LeMat-Bulk).

Geometry as POSCAR:
```
Dy5Tm3Sc3
1.0
9.284 0.000 0.000
-4.642 8.040 0.000
0.000 0.000 5.426
Dy Tm Sc
5 3 3
Cartesian
-3.467 6.005 0.000 Dy
1.175 2.034 0.000 Dy
0.000 5.360 0.000 Dy
4.642 2.680 0.000 Dy
6.934 0.000 0.000 Dy
-2.487 4.308 2.713 Tm
2.155 3.732 2.713 Tm
4.974 0.000 2.713 Tm
-1.754 3.037 0.000 Sc
3.507 0.000 0.000 Sc
2.888 5.002 0.000 Sc
```

Computed properties:
The total moment comes out at 0.00 Bohr magnetons per cell. The value obtained for the energy is -4.2439 eV/atom. The value obtained for the formation energy is 0.794 eV/atom. Its space group is P-62m.

[5]
# DyTm2Sc6

Crystalline DyTm2Sc6 at its relaxed geometry (GGA-PBE, Alexandria via LeMat-Bulk).

Geometry as POSCAR:
```
DyTm2Sc6
1.0
9.132 0.000 0.000
-4.566 7.909 0.000
0.000 0.000 3.288
Dy Tm Sc
1 2 6
Cartesian
0.000 0.000 0.000 Dy
0.000 5.272 0.000 Tm
4.566 2.636 0.000 Tm
-1.526 2.643 1.644 Sc
-3.040 5.265 1.644 Sc
3.052 0.000 1.644 Sc
1.526 2.643 1.644 Sc
6.080 0.000 1.644 Sc
3.040 5.265 1.644 Sc
```

Computed properties:
The total moment comes out at 0.00 Bohr magnetons per cell. The value obtained for the energy is -5.6632 eV/atom. The value obtained for the formation energy is 0.063 eV/atom. Its space group is P6/mmm. The calculation puts the offset from the most stable computed form at 0 meV/atom.

[6]
# Dy3TmSc6

Crystalline Dy3TmSc6 at its relaxed geometry (GGA-PBE, Alexandria via LeMat-Bulk).

Geometry as POSCAR:
```
Dy3TmSc6
1.0
5.238 -8.986 0.000
5.238 8.986 0.000
0.000 0.000 5.833
Dy Tm Sc
6 2 12
Cartesian
5.238 7.104 2.917 Dy
3.417 1.902 5.296 Dy
3.417 -1.902 2.380 Dy
7.058 1.902 5.296 Dy
7.058 -1.902 2.380 Dy
5.238 -7.104 0.000 Dy
5.238 3.788 3.469 Tm
5.238 -3.788 0.553 Tm
2.660 3.845 1.771 Sc
1.733 0.934 2.689 Sc
5.238 5.137 0.448 Sc
1.733 -0.934 5.606 Sc
5.238 0.866 2.183 Sc
2.660 -3.845 4.688 Sc
7.815 3.845 1.771 Sc
5.238 -0.866 5.100 Sc
8.742 0.934 2.689 Sc
5.238 -5.137 3.364 Sc
8.742 -0.934 5.606 Sc
7.815 -3.845 4.688 Sc
```

Computed properties:
The total moment comes out at 0.65 Bohr magnetons per cell. The value obtained for the energy is -5.4688 eV/atom. The value obtained for the formation energy is 0.158 eV/atom. Its space group is Cmc2_1. The calculation puts the offset from the most stable computed form at 0 meV/atom.

[7]
# DyTm6Sc12

Crystalline DyTm6Sc12 at its relaxed geometry (GGA-PBE, Alexandria via LeMat-Bulk).

Geometry as POSCAR:
```
DyTm6Sc12
1.0
7.347 4.242 2.796
-7.347 4.242 2.796
0.000 -8.483 2.796
Dy Tm Sc
1 6 12
Cartesian
0.000 0.000 0.000 Dy
0.000 -5.368 2.343 Tm
-4.649 2.684 2.343 Tm
-4.649 -2.684 6.045 Tm
4.649 2.684 2.343 Tm
4.649 -2.684 6.045 Tm
0.000 5.368 6.045 Tm
-1.607 -0.928 2.702 Sc
-2.095 -3.629 4.194 Sc
-4.190 0.000 4.194 Sc
1.607 -0.928 2.702 Sc
0.000 1.855 2.702 Sc
2.095 -3.629 4.194 Sc
-2.095 3.629 4.194 Sc
0.000 -1.855 5.685 Sc
-1.607 0.928 5.685 Sc
4.190 0.000 4.194 Sc
2.095 3.629 4.194 Sc
1.607 0.928 5.685 Sc
```

Computed properties:
The total moment comes out at 0.03 Bohr magnetons per cell. The value obtained for the energy is -5.3451 eV/atom. The value obtained for the formation energy is 0.308 eV/atom. Its space group is R-3m.

[8]
# DyTmSc2

Crystalline DyTmSc2 at its relaxed geometry (GGA-PBE, Alexandria via LeMat-Bulk).

Geometry as POSCAR:
```
DyTmSc2
1.0
0.000 3.806 3.806
3.806 0.000 3.806
3.806 3.806 0.000
Dy Tm Sc
1 1 2
Cartesian
0.000 0.000 0.000 Dy
3.806 3.806 3.806 Tm
1.903 1.903 1.903 Sc
5.709 5.709 5.709 Sc
```

Computed properties:
The total moment comes out at 0.00 Bohr magnetons per cell. The value obtained for the energy is -5.3391 eV/atom. The value obtained for the formation energy is 0.095 eV/atom. Its space group is Fm-3m. The calculation puts the offset from the most stable computed form at 53 meV/atom.

- Which of these has the highest total moment?
  Dy3TmSc6